# 1
# ErTc4P4

A relaxed ErTc4P4 crystal (PBE, the Alexandria database).

The calculation puts the total energy at -145.36 eV/cell. The value obtained for the density of states at the Fermi level is 12.37 states/eV/cell. As for the magnetization: 0.00 μB per formula unit.

The space group is P4_2/nmc (No. 137, origin choice 2) and the conventional cell measures 5.956, 5.956 and 7.806 Å, with angles of 90.00, 90.00 and 90.00 degrees. Symmetry generates all atoms from Er at (0.250, 0.750, 0.250), Tc at (0.003, 0.250, 0.123) and P at (0.050, 0.250, 0.423).

# 2
# ErTcP2

A relaxed ErTcP2 crystal (PBE, the Alexandria database).

The calculation puts the total energy at -86.82 eV/cell. The value obtained for the density of states at the Fermi level is 13.07 states/eV/cell. As for the magnetization: 0.00 μB per formula unit.

The space group is R-3m (No. 166, hexagonal axes) and the conventional cell measures 3.8374, 3.8374 and 16.3879 Å, with angles of 90.00, 90.00 and 120.00 degrees. Symmetry generates all atoms from Er at (0.0000, 0.0000, 0.0000), Tc at (0.0000, 0.0000, 0.5000) and P at (0.0000, 0.0000, 0.2318).

# 3
# Er3Te2P

A relaxed Er3Te2P crystal (PBE, the Alexandria database).

The calculation puts the formation energy without anion corrections at -138.2 kJ/mol of atoms. The calculation puts the total energy at -135.91 eV/cell. The value obtained for the density of states at the Fermi level is 10.24 states/eV/cell. The calculation puts the excess energy over the best structure of this formula in the dataset at 0.00 eV/f.u. As for the magnetization: 0.00 μB per formula unit.

The space group is C2/m (No. 12) and the conventional cell measures 7.233, 12.498 and 7.397 Å, with angles of 90.00, 109.02 and 90.00 degrees. Symmetry generates all atoms from Er at (0.210, 0.000, 0.211), Er at (0.246, 0.180, 0.783), Te at (0.000, 0.000, 0.500), Te at (0.000, 0.342, 0.500), Te at (0.000, 0.500, 0.000) and P at (0.000, 0.168, 0.000).

# 4
# Er4Te5P

A relaxed Er4Te5P crystal (PBE, the Alexandria database).

The calculation puts the formation energy without anion corrections at -122.6 kJ/mol of atoms. The calculation puts the total energy at -104.15 eV/cell. The value obtained for the density of states at the Fermi level is 6.72 states/eV/cell. As for the magnetization: 0.00 μB per formula unit.

The space group is C2/m (No. 12) and the conventional cell measures 18.416, 4.178 and 8.458 Å, with angles of 90.00, 102.24 and 90.00 degrees. Symmetry generates all atoms from Er at (0.001, 0.000, 0.267), Er at (0.160, 0.500, 0.585), Te at (0.000, 0.500, 0.000), Te at (0.165, 0.000, 0.841), Te at (0.169, 0.000, 0.326) and P at (0.000, 0.500, 0.500).

# 5
# Er4Te3P

A relaxed Er4Te3P crystal (PBE, the Alexandria database).

The calculation puts the formation energy without anion corrections at -133.1 kJ/mol of atoms. The calculation puts the total energy at -88.24 eV/cell. The value obtained for the density of states at the Fermi level is 5.97 states/eV/cell. As for the magnetization: 0.00 μB per formula unit.

The space group is Cmmm (No. 65) and the conventional cell measures 8.623, 12.026 and 4.168 Å, with angles of 90.00, 90.00 and 90.00 degrees. Symmetry generates all atoms from Er at (0.000, 0.226, 0.000), Er at (0.213, 0.000, 0.500), Te at (0.000, 0.500, 0.000), Te at (0.250, 0.250, 0.500) and P at (0.000, 0.000, 0.000).

# 6
# Er2TeP

A relaxed Er2TeP crystal (PBE, the Alexandria database).

The calculation puts the formation energy without anion corrections at -144.4 kJ/mol of atoms. The calculation puts the total energy at -70.98 eV/cell. The value obtained for the density of states at the Fermi level is 7.41 states/eV/cell. The calculation puts the excess energy over the best structure of this formula in the dataset at 0.11 eV/f.u. As for the magnetization: 0.00 μB per formula unit.

The space group is R3m (No. 160, hexagonal axes) and the conventional cell measures 4.0345, 4.0345 and 21.4922 Å, with angles of 90.00, 90.00 and 120.00 degrees. Symmetry generates all atoms from Er at (0.0000, 0.0000, 0.0000), Er at (0.0000, 0.0000, 0.1944), Te at (0.0000, 0.0000, 0.7644) and P at (0.0000, 0.0000, 0.5952).

# 7
# Er3Te2P

A relaxed Er3Te2P crystal (PBE, the Alexandria database).

The calculation puts the formation energy without anion corrections at -134.7 kJ/mol of atoms. The calculation puts the total energy at -135.04 eV/cell. The value obtained for the density of states at the Fermi level is 12.52 states/eV/cell. The calculation puts the excess energy over the best structure of this formula in the dataset at 0.22 eV/f.u. As for the magnetization: 0.00 μB per formula unit.

The space group is C2/c (No. 15) and the conventional cell measures 7.450, 12.557 and 7.175 Å, with angles of 90.00, 109.73 and 90.00 degrees. Symmetry generates all atoms from Er at (0.202, 0.070, 0.492), Er at (0.250, 0.250, 0.000), Te at (0.000, 0.263, 0.250), Te at (0.000, 0.421, 0.750) and P at (0.000, 0.092, 0.750).

# 8
# Er4TeP

A relaxed Er4TeP crystal (PBE, the Alexandria database).

The calculation puts the formation energy without anion corrections at -81.7 kJ/mol of atoms. The calculation puts the total energy at -127.53 eV/cell. The value obtained for the density of states at the Fermi level is 14.24 states/eV/cell. As for the magnetization: 0.00 μB per formula unit.

The space group is C2/c (No. 15) and the conventional cell measures 8.004, 15.305 and 6.864 Å, with angles of 90.00, 124.14 and 90.00 degrees. Symmetry generates all atoms from Er at (0.203, 0.201, 0.231), Er at (0.224, 0.067, 0.721), Te at (0.000, 0.425, 0.750) and P at (0.000, 0.059, 0.250).

# 9
# ErTeP

A relaxed ErTeP crystal (PBE, the Alexandria database).

The calculation puts the formation energy without anion corrections at -103.0 kJ/mol of atoms. The calculation puts the total energy at -32.63 eV/cell. The value obtained for the density of states at the Fermi level is 2.49 states/eV/cell. As for the magnetization: 0.00 μB per formula unit.

The space group is P2_1/m (No. 11) and the conventional cell measures 4.030, 3.935 and 9.022 Å, with angles of 90.00, 92.76 and 90.00 degrees. Symmetry generates all atoms from Er at (0.226, 0.250, 0.240), Te at (0.257, 0.250, 0.629) and P at (0.332, 0.750, 0.991).

# 10
# ErTeP

A relaxed ErTeP crystal (PBE, the Alexandria database).

The calculation puts the formation energy without anion corrections at -89.1 kJ/mol of atoms. The calculation puts the total energy at -63.54 eV/cell. The value obtained for the density of states at the Fermi level is 4.34 states/eV/cell. As for the magnetization: 0.00 μB per formula unit.

The space group is Immm (No. 71) and the conventional cell measures 3.846, 6.045 and 13.729 Å, with angles of 90.00, 90.00 and 90.00 degrees. Symmetry generates all atoms from Er at (0.000, 0.000, 0.134), Te at (0.000, 0.500, 0.188) and P at (0.000, 0.319, 0.500).

# 11
# Er6TeP5

A relaxed Er6TeP5 crystal (PBE, the Alexandria database).

The calculation puts the formation energy without anion corrections at -152.6 kJ/mol of atoms. The calculation puts the total energy at -153.09 eV/cell. The value obtained for the density of states at the Fermi level is 4.86 states/eV/cell. As for the magnetization: 0.00 μB per formula unit.

The space group is C2/m (No. 12) and the conventional cell measures 6.986, 12.072 and 6.978 Å, with angles of 90.00, 109.55 and 90.00 degrees. Symmetry generates all atoms from Er at (0.234, 0.000, 0.259), Er at (0.236, 0.177, 0.740), Te at (0.000, 0.500, 0.000), P at (0.000, 0.000, 0.500), P at (0.000, 0.167, 0.000) and P at (0.000, 0.339, 0.500).

Theoretical density
In order: 8.19; 7.80; 8.28; 6.99; 8.32; 8.11; 8.28; 7.90; 7.57; 6.78; 7.70
Unit: g/cm³